# 1
Material: Ca2AlH
Method: DFT, PBE
State: optimized geometry

Calculated values
Final energy: -2.832 eV per atom
Total magnetic moment: 0.0 μB/cell
Crystal system: tetragonal
Offset from the most stable computed form: 142 meV/atom

Structure (POSCAR):
```
Ca2AlH
1.0
3.313 0.000 0.000
0.000 3.313 0.000
0.000 0.000 7.768
Ca Al H
2 1 1
Direct
0.000 0.000 0.224 Ca
0.000 0.000 0.776 Ca
0.500 0.500 0.500 Al
0.500 0.500 0.000 H
```

***

# 2
Material: Ca2AlH
Method: DFT, PBE
State: optimized geometry

Calculated values
Final energy: -2.901 eV per atom
Total magnetic moment: 0.0 μB/cell
Crystal system: tetragonal
Offset from the most stable computed form: 73 meV/atom

Structure (POSCAR):
```
Ca2AlH
1.0
-3.524 3.524 3.828
3.524 -3.524 3.828
3.524 3.524 -3.828
Ca Al H
4 2 2
Direct
0.023 0.625 0.898 Ca
0.375 0.273 0.398 Ca
0.727 0.125 0.102 Ca
0.875 0.977 0.602 Ca
0.250 0.750 0.500 Al
0.500 0.500 0.000 Al
0.000 0.000 0.000 H
0.750 0.250 0.500 H
```

***

# 3
Material: Ca3Al5H12
Method: DFT, PBE
State: optimized geometry

Calculated values
Final energy: -3.181 eV per atom
Total magnetic moment: 0.0 μB/cell
Crystal system: cubic

Structure (POSCAR):
```
Ca3Al5H12
1.0
-6.065 6.065 6.065
6.065 -6.065 6.065
6.065 6.065 -6.065
Ca Al H
12 20 48
Direct
0.125 0.250 0.375 Ca
0.125 0.375 0.750 Ca
0.250 0.375 0.125 Ca
0.250 0.875 0.625 Ca
0.375 0.125 0.250 Ca
0.375 0.750 0.125 Ca
0.625 0.250 0.875 Ca
0.625 0.875 0.750 Ca
0.750 0.125 0.375 Ca
0.750 0.625 0.875 Ca
0.875 0.625 0.250 Ca
0.875 0.750 0.625 Ca
0.000 0.000 0.000 Al
0.000 0.000 0.500 Al
0.000 0.500 0.000 Al
0.000 0.500 0.500 Al
0.125 0.750 0.875 Al
0.125 0.875 0.250 Al
0.250 0.125 0.875 Al
0.250 0.625 0.375 Al
0.375 0.250 0.625 Al
0.375 0.625 0.750 Al
0.500 0.000 0.000 Al
0.500 0.000 0.500 Al
0.500 0.500 0.000 Al
0.500 0.500 0.500 Al
0.625 0.375 0.250 Al
0.625 0.750 0.375 Al
0.750 0.375 0.625 Al
0.750 0.875 0.125 Al
0.875 0.125 0.750 Al
0.875 0.250 0.125 Al
0.024 0.199 0.118 H
0.024 0.325 0.906 H
0.082 0.699 0.675 H
0.082 0.882 0.406 H
0.094 0.618 0.418 H
0.094 0.976 0.675 H
0.118 0.024 0.199 H
0.118 0.594 0.918 H
0.175 0.199 0.582 H
0.175 0.476 0.594 H
0.199 0.118 0.024 H
0.199 0.582 0.175 H
0.301 0.325 0.918 H
0.301 0.476 0.382 H
0.325 0.906 0.024 H
0.325 0.918 0.301 H
0.382 0.301 0.476 H
0.382 0.582 0.906 H
0.406 0.082 0.882 H
0.406 0.825 0.524 H
0.418 0.094 0.618 H
0.418 0.825 0.801 H
0.476 0.382 0.301 H
0.476 0.594 0.175 H
0.524 0.406 0.825 H
0.524 0.618 0.699 H
0.582 0.175 0.199 H
0.582 0.906 0.382 H
0.594 0.175 0.476 H
0.594 0.918 0.118 H
0.618 0.418 0.094 H
0.618 0.699 0.524 H
0.675 0.082 0.699 H
0.675 0.094 0.976 H
0.699 0.524 0.618 H
0.699 0.675 0.082 H
0.801 0.418 0.825 H
0.801 0.882 0.976 H
0.825 0.524 0.406 H
0.825 0.801 0.418 H
0.882 0.406 0.082 H
0.882 0.976 0.801 H
0.906 0.024 0.325 H
0.906 0.382 0.582 H
0.918 0.118 0.594 H
0.918 0.301 0.325 H
0.976 0.675 0.094 H
0.976 0.801 0.882 H
```

***

# 4
Material: CaAlH5
Method: DFT, PBE
State: optimized geometry

Calculated values
Final energy: -3.462 eV per atom
Total magnetic moment: 0.0 μB/cell
Crystal system: monoclinic
Offset from the most stable computed form: 62 meV/atom

Structure (POSCAR):
```
CaAlH5
1.0
8.731 0.000 0.000
0.000 6.369 0.000
-0.305 0.000 11.152
Ca Al H
8 8 40
Direct
0.186 0.249 0.298 Ca
0.186 0.251 0.798 Ca
0.291 0.749 0.101 Ca
0.291 0.751 0.601 Ca
0.709 0.249 0.399 Ca
0.709 0.251 0.899 Ca
0.814 0.749 0.202 Ca
0.814 0.751 0.702 Ca
0.128 0.749 0.342 Al
0.128 0.751 0.842 Al
0.478 0.250 0.165 Al
0.478 0.250 0.665 Al
0.522 0.750 0.335 Al
0.522 0.750 0.835 Al
0.872 0.249 0.158 Al
0.872 0.251 0.658 Al
0.057 0.250 0.126 H
0.057 0.250 0.626 H
0.117 0.572 0.223 H
0.117 0.574 0.723 H
0.117 0.926 0.223 H
0.117 0.928 0.723 H
0.188 0.550 0.439 H
0.188 0.551 0.938 H
0.188 0.949 0.438 H
0.188 0.950 0.939 H
0.332 0.749 0.294 H
0.332 0.751 0.794 H
0.344 0.066 0.664 H
0.344 0.434 0.164 H
0.346 0.064 0.163 H
0.346 0.436 0.663 H
0.456 0.248 0.322 H
0.456 0.252 0.822 H
0.481 0.748 0.977 H
0.481 0.752 0.477 H
0.519 0.248 0.523 H
0.519 0.252 0.023 H
0.544 0.748 0.178 H
0.544 0.752 0.678 H
0.654 0.564 0.337 H
0.654 0.936 0.837 H
0.656 0.566 0.836 H
0.656 0.934 0.336 H
0.668 0.249 0.206 H
0.668 0.251 0.706 H
0.812 0.050 0.061 H
0.812 0.051 0.562 H
0.812 0.449 0.062 H
0.812 0.450 0.561 H
0.883 0.072 0.277 H
0.883 0.074 0.777 H
0.883 0.426 0.277 H
0.883 0.428 0.777 H
0.943 0.750 0.374 H
0.943 0.750 0.874 H
```

***

# 5
Material: CaAl2H
Method: DFT, PBE
State: optimized geometry

Calculated values
Final energy: -2.525 eV per atom
Total magnetic moment: 0.0 μB/cell
Crystal system: cubic
Offset from the most stable computed form: 679 meV/atom

Structure (POSCAR):
```
CaAl2H
1.0
0.000 3.421 3.421
3.421 0.000 3.421
3.421 3.421 0.000
Ca Al H
1 2 1
Direct
0.000 0.000 0.000 Ca
0.250 0.250 0.250 Al
0.750 0.750 0.750 Al
0.500 0.500 0.500 H
```

***

# 6
Material: Ca2AlH2
Method: DFT, PBE
State: optimized geometry

Calculated values
Final energy: -2.786 eV per atom
Total magnetic moment: 0.0 μB/cell
Crystal system: tetragonal
Offset from the most stable computed form: 452 meV/atom

Structure (POSCAR):
```
Ca2AlH2
1.0
7.933 0.000 0.000
0.000 7.933 0.000
0.000 0.000 3.022
Ca Al H
4 2 4
Direct
0.137 0.363 0.000 Ca
0.363 0.863 0.000 Ca
0.637 0.137 0.000 Ca
0.863 0.637 0.000 Ca
0.000 0.000 0.000 Al
0.500 0.500 0.000 Al
0.094 0.594 0.500 H
0.406 0.094 0.500 H
0.594 0.906 0.500 H
0.906 0.406 0.500 H
```

***

# 7
Material: CaAlH6
Method: DFT, PBE
State: optimized geometry

Calculated values
Final energy: -3.301 eV per atom
Total magnetic moment: 0.0 μB/cell
Crystal system: monoclinic

Structure (POSCAR):
```
CaAlH6
1.0
2.578 -3.108 0.000
2.578 3.108 0.000
-1.156 0.000 4.625
Ca Al H
1 1 6
Direct
0.000 0.000 0.000 Ca
0.500 0.500 0.500 Al
0.090 0.090 0.512 H
0.199 0.573 0.240 H
0.427 0.801 0.760 H
0.573 0.199 0.240 H
0.801 0.427 0.760 H
0.910 0.910 0.488 H
```

***

# 8
Material: Ca2AlH2
Method: DFT, PBE
State: optimized geometry

Calculated values
Final energy: -3.238 eV per atom
Total magnetic moment: 0.7 μB/cell
Crystal system: tetragonal
Offset from the most stable computed form: 0 meV/atom

Structure (POSCAR):
```
Ca2AlH2
1.0
-1.843 1.843 6.846
1.843 -1.843 6.846
1.843 1.843 -6.846
Ca Al H
2 1 2
Direct
0.155 0.155 0.000 Ca
0.845 0.845 0.000 Ca
0.500 0.500 0.000 Al
0.250 0.750 0.500 H
0.750 0.250 0.500 H
```

***

# 9
Material: CaAlHg2H
Method: DFT, PBE
State: optimized geometry

Calculated values
Final energy: -1.931 eV per atom
Total magnetic moment: 0.0 μB/cell
Crystal system: tetragonal

Structure (POSCAR):
```
CaAlHg2H
1.0
5.350 0.000 0.000
0.000 5.350 0.000
0.000 0.000 3.615
Ca Al Hg H
1 1 2 1
Direct
0.000 0.000 0.000 Ca
0.500 0.500 0.000 Al
0.000 0.500 0.500 Hg
0.500 0.000 0.500 Hg
0.500 0.500 0.500 H
```

***

# 10
Material: Ca2AlHgH
Method: DFT, PBE
State: optimized geometry

Calculated values
Final energy: -2.590 eV per atom
Total magnetic moment: 0.0 μB/cell
Crystal system: tetragonal

Structure (POSCAR):
```
Ca2AlHgH
1.0
5.201 0.000 0.000
0.000 5.201 0.000
0.000 0.000 3.908
Ca Al Hg H
2 1 1 1
Direct
0.000 0.500 0.000 Ca
0.500 0.000 0.000 Ca
0.000 0.000 0.500 Al
0.500 0.500 0.500 Hg
0.000 0.000 0.000 H
```

***

# 11
Material: CaAlH4I
Method: DFT, PBE
State: optimized geometry

Calculated values
Final energy: -3.381 eV per atom
Total magnetic moment: 0.0 μB/cell
Crystal system: monoclinic

Structure (POSCAR):
```
CaAlH4I
1.0
5.156 -3.364 0.000
5.156 3.364 0.000
-1.526 0.000 6.966
Ca Al H I
2 2 8 2
Direct
0.245 0.245 0.145 Ca
0.755 0.755 0.855 Ca
0.378 0.378 0.757 Al
0.622 0.622 0.243 Al
0.146 0.507 0.883 H
0.315 0.315 0.527 H
0.463 0.463 0.196 H
0.493 0.854 0.117 H
0.507 0.146 0.883 H
0.537 0.537 0.804 H
0.685 0.685 0.473 H
0.854 0.493 0.117 H
0.039 0.039 0.753 I
0.961 0.961 0.247 I
```

***

# 12
Material: Ca2AlInH
Method: DFT, PBE
State: optimized geometry

Calculated values
Final energy: -3.032 eV per atom
Total magnetic moment: 0.0 μB/cell
Crystal system: tetragonal

Structure (POSCAR):
```
Ca2AlInH
1.0
4.789 0.000 0.000
0.000 4.789 0.000
0.000 0.000 4.592
Ca Al In H
2 1 1 1
Direct
0.000 0.500 0.000 Ca
0.500 0.000 0.000 Ca
0.000 0.000 0.500 Al
0.500 0.500 0.500 In
0.000 0.000 0.000 H
```

***

# 13
Material: CaAlH8Ir2
Method: DFT, PBE
State: optimized geometry

Calculated values
Final energy: -4.413 eV per atom
Total magnetic moment: 0.0 μB/cell
Crystal system: monoclinic

Structure (POSCAR):
```
CaAlH8Ir2
1.0
4.622 -1.914 0.000
4.622 1.914 0.000
-3.589 0.000 7.096
Ca Al H Ir
1 1 8 2
Direct
0.000 0.000 0.000 Ca
0.000 0.000 0.500 Al
0.201 0.556 0.668 H
0.257 0.257 0.259 H
0.368 0.368 0.055 H
0.444 0.799 0.332 H
0.556 0.201 0.668 H
0.632 0.632 0.945 H
0.743 0.743 0.741 H
0.799 0.444 0.332 H
0.447 0.447 0.288 Ir
0.553 0.553 0.712 Ir
```

***

# 14
Material: K2CaAlH8
Method: DFT, PBE
State: optimized geometry

Calculated values
Final energy: -2.975 eV per atom
Total magnetic moment: 0.0 μB/cell
Crystal system: monoclinic

Structure (POSCAR):
```
K2CaAlH8
1.0
6.019 0.000 0.000
0.000 3.574 0.000
-0.803 0.000 7.162
K Ca Al H
2 1 1 8
Direct
0.057 0.000 0.285 K
0.943 0.000 0.715 K
0.500 0.500 0.000 Ca
0.500 0.500 0.500 Al
0.230 0.500 0.574 H
0.265 0.000 0.977 H
0.367 0.500 0.280 H
0.404 0.000 0.579 H
0.596 0.000 0.421 H
0.633 0.500 0.720 H
0.735 0.000 0.023 H
0.770 0.500 0.426 H
```

***

# 15
Material: Li2CaAlH8
Method: DFT, PBE
State: optimized geometry

Calculated values
Final energy: -3.243 eV per atom
Total magnetic moment: 0.0 μB/cell
Crystal system: triclinic

Structure (POSCAR):
```
Li2CaAlH8
1.0
4.223 0.000 0.000
1.010 4.668 0.000
1.831 -0.014 5.547
Li Ca Al H
2 1 1 8
Direct
0.182 0.448 0.163 Li
0.818 0.552 0.837 Li
0.500 0.000 0.500 Ca
0.000 0.000 0.000 Al
0.084 0.045 0.276 H
0.203 0.271 0.862 H
0.373 0.753 0.880 H
0.403 0.511 0.488 H
0.597 0.489 0.512 H
0.627 0.247 0.120 H
0.797 0.729 0.138 H
0.916 0.955 0.724 H
```

***

# 16
Material: LiCa2AlH
Method: DFT, PBE
State: optimized geometry

Calculated values
Final energy: -2.885 eV per atom
Total magnetic moment: 0.0 μB/cell
Crystal system: tetragonal
Offset from the most stable computed form: 0 meV/atom

Structure (POSCAR):
```
LiCa2AlH
1.0
5.150 0.000 0.000
0.000 5.150 0.000
0.000 0.000 3.926
Li Ca Al H
1 2 1 1
Direct
0.000 0.000 0.000 Li
0.000 0.500 0.500 Ca
0.500 0.000 0.500 Ca
0.500 0.500 0.000 Al
0.000 0.000 0.500 H
```

***

# 17
Material: LiCa2AlH
Method: DFT, PBE
State: optimized geometry

Calculated values
Final energy: -2.742 eV per atom
Total magnetic moment: 0.0 μB/cell
Crystal system: tetragonal
Offset from the most stable computed form: 143 meV/atom

Structure (POSCAR):
```
LiCa2AlH
1.0
5.212 0.000 0.000
0.000 5.212 0.000
0.000 0.000 3.956
Li Ca Al H
1 2 1 1
Direct
0.000 0.000 0.000 Li
0.000 0.500 0.500 Ca
0.500 0.000 0.500 Ca
0.500 0.500 0.000 Al
0.500 0.500 0.500 H
```

***

# 18
Material: CaMg2AlH
Method: DFT, PBE
State: optimized geometry

Calculated values
Final energy: -2.572 eV per atom
Total magnetic moment: 0.0 μB/cell
Crystal system: tetragonal

Structure (POSCAR):
```
CaMg2AlH
1.0
4.620 0.000 0.000
0.000 4.620 0.000
0.000 0.000 4.449
Ca Mg Al H
1 2 1 1
Direct
0.000 0.000 0.000 Ca
0.000 0.500 0.500 Mg
0.500 0.000 0.500 Mg
0.500 0.500 0.000 Al
0.000 0.000 0.500 H
```

***

So what do the calculations give for DOS(E_F)? Going down the list: 2.1, 1.7, 9.3, 0.0, 2.5, 1.1, 1.0, 2.0, 2.6, 2.6, 0.0, 1.5, 0.8, 1.7, 0.6, 1.7, 2.7, 1.6 states/eV/f.u..